Computed, not measured: a relaxed NaOs2O crystal at the GGA-PBE level of DFT.

abc: 4.852 4.852 7.450
angles: 70.99 70.99 90.00
Each line ends with the local moment (μB).
Atoms (fractional coordinates):
1 O 0.250 0.750 0.500  0.02
2 O 0.500 0.500 0.000  0.02
3 Na 0.750 0.250 0.500  0.00
4 Na 0.000 0.000 0.000  0.00
5 Os 0.375 0.643 0.750  0.35
6 Os 0.357 0.125 0.250  0.41
7 Os 0.393 0.625 0.250  0.40
8 Os 0.875 0.607 0.750  0.35

uncorrected formation energy = 855 meV per atom
E = -50.64 eV for the cell shown
density = 8.95 Mg/m³
space group = I-42d, No. 122